## LaPmAgI (GGA-PBE)

Data for an optimized crystal structure of LaPmAgI.

Properties
total moment: 0.0000 μB per atom
Fermi-level density of states: 5.33 states/eV/f.u.
formation energy from raw total energies: -1.70 eV per formula unit
V: 28.8 A^3/atom

a = 5.462 Å, b = 5.462 Å, c = 5.462 Å
α = 60.00°, β = 60.00°, γ = 60.00°
Sites, in units of the cell vectors:
Pm 0.750 0.750 0.750
I 0.500 0.500 0.500
Ag 0.000 0.000 0.000
La 0.250 0.250 0.250